[1]
VASP calculation (GGA-PBE) on crystalline PmTlHg6 at its relaxed geometry.

## Properties
Calculated formation energy   -62.4 meV/atom
ΔE to the lowest computed polymorph   115 meV/atom
Calculated density   10.60 g/cm³

Cell: 8.3690 8.3690 6.2804 Å, 48.22 48.22 60.00°
Sites, in units of the cell vectors:
Pm1 0.0000 0.0000 0.0000
Tl1 0.5000 0.5000 0.5000
Hg1 0.1541 0.1541 0.1723
Hg2 0.1541 0.5195 0.1723
Hg3 0.4805 0.8459 0.8277
Hg4 0.8459 0.4805 0.8277
Hg5 0.8459 0.8459 0.8277
Hg6 0.5195 0.1541 0.1723

---

[2]
VASP calculation (GGA-PBE) on crystalline OsOF at its relaxed geometry.

## Properties
Calculated density   9.56 g/cm³
Energy relative to the elements, uncorrected   -0.71 eV/atom

Cell: 3.2336 4.4240 5.8392 Å, 90.00 110.51 90.00°
Sites, in units of the cell vectors:
O1 0.3052 0.2500 0.8706
O2 0.6948 0.7500 0.1294
F1 0.5808 0.2500 0.3307
F2 0.4192 0.7500 0.6693
Os1 0.9417 0.2500 0.0857
Os2 0.0583 0.7500 0.9143